This record from Alexandria describes a geometry-optimized Tl3MoF6 structure. The functional is GGA+U.

The density of states at the Fermi level is 0.000 states/eV/atom. As for the energy above the most stable polymorph in this dataset: 0.000 eV per atom. The value obtained for the calculated total energy is -4.64 eV per atom. The crystal system is trigonal. The total magnetization comes out at 0.30 μB per atom.

POSCAR file:
```
Tl3MoF6
1.0
5.211 3.008 4.562
-5.211 3.008 4.562
0.000 -6.017 4.562
Tl Mo F
6 2 12
direct
0.156 0.156 0.544
0.156 0.544 0.156
0.456 0.844 0.844
0.544 0.156 0.156
0.844 0.456 0.844
0.844 0.844 0.456
0.000 0.000 0.000
0.500 0.500 0.500
0.109 0.818 0.818
0.182 0.182 0.891
0.182 0.891 0.182
0.220 0.495 0.495
0.495 0.220 0.495
0.495 0.495 0.220
0.505 0.505 0.780
0.505 0.780 0.505
0.780 0.505 0.505
0.818 0.109 0.818
0.818 0.818 0.109
0.891 0.182 0.182
```